Record 1
This record from Alexandria via LeMat-Bulk describes a geometry-optimized NaLiTa4N8 structure. The functional is GGA-PBE.

abc: 6.294 6.294 6.294
angles: 60.43 60.43 60.43
Fractional coordinates of all 14 atoms:
1 Na 0.000 0.000 0.000
2 Li 0.610 0.610 0.610
3 Ta 0.102 0.625 0.625
4 Ta 0.240 0.240 0.240
5 Ta 0.625 0.102 0.625
6 Ta 0.625 0.625 0.102
7 N 0.351 0.351 0.861
8 N 0.351 0.861 0.351
9 N 0.373 0.373 0.373
10 N 0.434 0.848 0.848
11 N 0.848 0.434 0.848
12 N 0.848 0.848 0.434
13 N 0.856 0.856 0.856
14 N 0.861 0.351 0.351

Values from the calculation:
Energy relative to the elements, uncorrected (eV per atom): -0.613
Magnetic moment (μB/atom): 0.144
SG: R3m (160)

Record 2
This record from Alexandria via LeMat-Bulk describes a geometry-optimized Ti2VNi9 structure. The functional is GGA-PBE.

abc: 3.594 3.594 10.799
angles: 90.00 90.00 90.00
Fractional coordinates of all 12 atoms:
1 Ti 0.000 0.000 0.168
2 Ti 0.000 0.000 0.832
3 V 0.000 0.000 0.500
4 Ni 0.000 0.500 0.000
5 Ni 0.000 0.500 0.336
6 Ni 0.000 0.500 0.664
7 Ni 0.500 0.000 0.000
8 Ni 0.500 0.000 0.336
9 Ni 0.500 0.000 0.664
10 Ni 0.500 0.500 0.168
11 Ni 0.500 0.500 0.500
12 Ni 0.500 0.500 0.832

Values from the calculation:
Magnetic moment (μB/atom): 0.101
SG: P4/mmm (123)
Energy of formation from the pure elements (meV/atom): -358.0

Record 3
This record from Alexandria via LeMat-Bulk describes a geometry-optimized Sm3TlPd structure. The functional is GGA-PBE.

abc: 9.148 9.148 3.999
angles: 90.00 90.00 111.90
Fractional coordinates of all 10 atoms:
1 Sm 0.172 0.828 0.000
2 Sm 0.184 0.419 0.500
3 Sm 0.419 0.184 0.500
4 Sm 0.581 0.816 0.500
5 Sm 0.816 0.581 0.500
6 Sm 0.828 0.172 0.000
7 Tl 0.000 0.000 0.500
8 Tl 0.500 0.500 0.000
9 Pd 0.000 0.500 0.000
10 Pd 0.500 0.000 0.000

Values from the calculation:
Magnetic moment (μB/atom): 0.000
SG: Cmmm (65)
Energy of formation from the pure elements (meV/atom): -333.7

Record 4
This record from Alexandria via LeMat-Bulk describes a geometry-optimized Ca2Dy4Y5 structure. The functional is GGA-PBE.

abc: 7.097 7.097 10.590
angles: 119.80 119.80 58.53
Fractional coordinates of all 11 atoms:
1 Ca 0.087 0.087 0.295
2 Ca 0.913 0.913 0.705
3 Dy 0.226 0.226 0.019
4 Dy 0.416 0.416 0.642
5 Dy 0.584 0.584 0.358
6 Dy 0.774 0.774 0.981
7 Y 0.070 0.607 0.330
8 Y 0.393 0.930 0.670
9 Y 0.500 0.500 0.000
10 Y 0.607 0.070 0.330
11 Y 0.930 0.393 0.670

Values from the calculation:
Magnetic moment (μB/atom): 0.000
SG: C2/m (12)
Energy of formation from the pure elements (meV/atom): 222.5

Record 5
This record from Alexandria via LeMat-Bulk describes a geometry-optimized Mg4Sb2H structure. The functional is GGA-PBE.

abc: 5.918 6.112 8.417
angles: 90.00 108.64 90.00
Fractional coordinates of all 14 atoms:
1 Mg 0.203 0.250 0.036
2 Mg 0.257 0.750 0.372
3 Mg 0.271 0.505 0.711
4 Mg 0.271 0.995 0.711
5 Mg 0.729 0.005 0.289
6 Mg 0.729 0.495 0.289
7 Mg 0.743 0.250 0.628
8 Mg 0.797 0.750 0.964
9 Sb 0.231 0.250 0.397
10 Sb 0.312 0.750 0.033
11 Sb 0.688 0.250 0.967
12 Sb 0.769 0.750 0.603
13 H 0.092 0.250 0.767
14 H 0.908 0.750 0.233

Values from the calculation:
Magnetic moment (μB/atom): 0.000
Polymorph energy (0 for the lowest one) (meV per atom): 2
SG: P2_1/m (11)

Record 6
This record from Alexandria via LeMat-Bulk describes a geometry-optimized Sr4Cd2N structure. The functional is GGA-PBE.

abc: 5.249 5.249 17.077
angles: 90.00 90.00 90.00
Fractional coordinates of all 14 atoms:
1 Sr 0.000 0.000 0.157
2 Sr 0.000 0.000 0.843
3 Sr 0.000 0.500 0.000
4 Sr 0.000 0.500 0.500
5 Sr 0.500 0.000 0.000
6 Sr 0.500 0.000 0.500
7 Sr 0.500 0.500 0.343
8 Sr 0.500 0.500 0.657
9 Cd 0.000 0.000 0.358
10 Cd 0.000 0.000 0.642
11 Cd 0.500 0.500 0.142
12 Cd 0.500 0.500 0.858
13 N 0.000 0.000 0.000
14 N 0.500 0.500 0.500

Values from the calculation:
Energy relative to the elements, uncorrected (eV per atom): -0.320
Magnetic moment (μB/atom): 0.000
SG: I4/mmm (139)

Which formula does entry 2 have?
Ti2VNi9